A relaxed PmErTlSb crystal. Source: the Alexandria database, functional PBE. Values from VASP.

```
&SYSTEM
  ibrav = 0, nat = 4, ntyp = 4
/
ATOMIC_SPECIES
Pm 145.00 Pm.upf
Er 167.26 Er.upf
Tl 204.38 Tl.upf
Sb 121.76 Sb.upf
CELL_PARAMETERS angstrom
-2.499 -0.330 -4.784
2.895 -0.623 -4.525
-0.127 -4.703 -2.665
ATOMIC_POSITIONS crystal
Pm 0.250 0.250 0.250
Er 0.750 0.750 0.750
Tl 0.000 0.000 0.000
Sb 0.500 0.500 0.500
```

M_tot, μB/atom: 0.001
Raw total energy, eV per atom: -4.46
ρ, g/cm³: 9.5
Raw formation energy, eV/atom: -0.513

=====

A relaxed Sc2SnI crystal. Source: the Alexandria database, functional PBE. Values from VASP.

```
&SYSTEM
  ibrav = 0, nat = 4, ntyp = 3
/
ATOMIC_SPECIES
Sc 44.96 Sc.upf
I 126.90 I.upf
Sn 118.71 Sn.upf
CELL_PARAMETERS angstrom
0.000 3.672 3.672
3.672 0.000 3.672
3.672 3.672 0.000
ATOMIC_POSITIONS crystal
Sc 0.750 0.750 0.750
Sc 0.250 0.250 0.250
I 0.500 0.500 0.500
Sn 0.000 0.000 0.000
```

M_tot, μB/atom: 0.221
Raw total energy, eV per atom: -4.93
ρ, g/cm³: 5.6
Relative energy among the computed polymorphs, eV/atom: 0.117
Raw formation energy, eV/atom: -0.377

=====

A relaxed La3Ni6Sn5 crystal. Source: the Alexandria database, functional PBE. Values from VASP.

```
&SYSTEM
  ibrav = 0, nat = 28, ntyp = 3
/
ATOMIC_SPECIES
Sn 118.71 Sn.upf
Ni 58.69 Ni.upf
La 138.91 La.upf
CELL_PARAMETERS angstrom
4.375 0.000 0.000
0.000 9.817 0.000
0.000 0.000 13.230
ATOMIC_POSITIONS crystal
Sn 0.500 0.490 0.630
Sn 0.000 0.510 0.870
Sn 0.000 0.900 0.671
Sn 0.000 0.791 0.000
Sn 0.000 0.900 0.329
Sn 0.500 0.100 0.829
Sn 0.000 0.510 0.130
Sn 0.500 0.490 0.370
Sn 0.500 0.209 0.500
Sn 0.500 0.100 0.171
Ni 0.000 0.628 0.328
Ni 0.500 0.022 0.632
Ni 0.000 0.518 0.500
Ni 0.000 0.978 0.868
Ni 0.500 0.482 0.000
Ni 0.500 0.372 0.172
Ni 0.500 0.372 0.828
Ni 0.500 0.022 0.368
Ni 0.000 0.042 0.500
Ni 0.000 0.628 0.672
Ni 0.500 0.958 0.000
Ni 0.000 0.978 0.132
La 0.500 0.746 0.186
La 0.500 0.772 0.500
La 0.000 0.254 0.686
La 0.500 0.746 0.814
La 0.000 0.254 0.314
La 0.000 0.228 0.000
```

M_tot, μB/atom: 0.000
Calculated formation energy, eV per atom: -0.508
Raw total energy, eV per atom: -5.47
ρ, g/cm³: 8.0

=====

A relaxed Ca2TbCeP4 crystal. Source: the Alexandria database, functional PBE. Values from VASP.

```
&SYSTEM
  ibrav = 0, nat = 8, ntyp = 4
/
ATOMIC_SPECIES
Ca 40.08 Ca.upf
P 30.97 P.upf
Ce 140.12 Ce.upf
Tb 158.93 Tb.upf
CELL_PARAMETERS angstrom
-4.095 0.157 0.386
-0.580 -6.058 -3.690
0.595 -1.455 6.899
ATOMIC_POSITIONS crystal
Ca 0.500 0.000 0.500
Ca 0.000 0.500 0.500
P 0.500 0.757 0.766
P 0.000 0.746 0.236
P 0.000 0.254 0.764
P 0.500 0.243 0.234
Ce 0.000 0.000 0.000
Tb 0.500 0.500 0.000
```

M_tot, μB/atom: 0.000
Calculated formation energy, eV per atom: -1.248
Raw total energy, eV per atom: -5.77
ρ, g/cm³: 4.3